(1)
Entry from the Alexandria database: crystalline La6PdCl8 at its relaxed geometry (PBE-GGA).

Computed properties:
The uncorrected formation energy comes out at -1790 meV per atom.

abc: 7.2058 7.2058 30.7186
angles: 90.00 90.00 120.00
Space group R-3 (No. 148, hexagonal axes)
Unique sites:
La 0.0003 0.3353 0.4447 (multiplicity 18)
Pd 0.0000 0.0000 0.5000 (multiplicity 3)
Cl 0.0000 0.0000 0.1666 (multiplicity 6)
Cl 0.0004 0.3262 0.6099 (multiplicity 18)



(2)
Entry from the Alexandria database: crystalline CePuScPa at its relaxed geometry (PBE-GGA).

Computed properties:
The calculation puts the electronic total energy at -8.78 eV per atom.

abc: 7.398 7.398 7.398
angles: 90.00 90.00 90.00
Space group F-43m (No. 216)
Unique sites:
Ce 0.000 0.000 0.000 (multiplicity 4)
Pu 0.000 0.000 0.500 (multiplicity 4)
Sc 0.250 0.250 0.750 (multiplicity 4)
Pa 0.250 0.250 0.250 (multiplicity 4)



(3)
Entry from the Alexandria database: crystalline BaSiNF2 at its relaxed geometry (PBE-GGA).

Computed properties:
The calculation puts the polymorph energy (0 for the lowest one) at 1347 meV/atom. The uncorrected formation energy comes out at -425 meV per atom.

abc: 4.899 4.899 5.593
angles: 90.00 90.00 90.00
Space group P4/mmm (No. 123)
Unique sites:
Ba 0.000 0.000 0.000 (multiplicity 1)
Si 0.500 0.500 0.500 (multiplicity 1)
N 0.000 0.000 0.500 (multiplicity 1)
F 0.000 0.500 0.000 (multiplicity 2)



(4)
Entry from the Alexandria database: crystalline NpTa2S at its relaxed geometry (PBE-GGA).

Computed properties:
The uncorrected formation energy comes out at 267 meV per atom.

abc: 3.0037 3.0037 28.6833
angles: 90.00 90.00 120.00
Space group R-3m (No. 166, hexagonal axes)
Unique sites:
Np 0.0000 0.0000 0.0000 (multiplicity 3)
Ta 0.0000 0.0000 0.1008 (multiplicity 6)
S 0.0000 0.0000 0.5000 (multiplicity 3)